Entry 1:
First-principles (PBE-GGA) data for crystalline La3CePr2N6 at its relaxed geometry, as listed in Alexandria via LeMat-Bulk.

The structure in extended XYZ format:
```
12
Lattice="3.197 -5.535 0.000 3.197 5.535 0.000 -2.134 0.000 6.043" Properties=species:S:1:pos:R:3 pbc="T T T"
La 0.000 0.000 0.000
La 3.197 1.832 0.000
La 3.197 -1.832 0.000
Ce 2.131 0.000 3.022
Pr 2.131 3.688 3.022
Pr 2.131 -3.688 3.022
N 1.119 1.754 1.577
N 0.096 0.000 4.485
N 1.119 -1.754 1.577
N 3.142 1.754 4.467
N 4.165 0.000 1.558
N 3.142 -1.754 4.467
```

Size of the total moment, μB/cell: 0.000
VASP energy, eV/atom: -8.044
Volume, A^3/atom: 17.825
Formation energy without anion corrections, meV/atom: -1358.4

Entry 2:
First-principles (PBE-GGA) data for crystalline LaCe3Pr2N6 at its relaxed geometry, as listed in Alexandria via LeMat-Bulk.

The structure in extended XYZ format:
```
12
Lattice="7.922 -1.814 0.000 7.922 1.814 0.000 -1.691 0.000 7.068" Properties=species:S:1:pos:R:3 pbc="T T T"
La 0.000 0.000 0.000
Ce -0.846 0.000 3.534
Ce 4.988 0.000 1.183
Ce 9.163 0.000 5.885
Pr 4.146 0.000 4.704
Pr 10.006 0.000 2.364
N 1.569 0.000 4.200
N 2.603 0.000 0.506
N 7.397 0.000 1.864
N 6.755 0.000 5.204
N 11.549 0.000 6.562
N 12.583 0.000 2.867
```

Size of the total moment, μB/cell: 0.001
VASP energy, eV/atom: -8.277
Volume, A^3/atom: 16.925
Formation energy without anion corrections, meV/atom: -1424.1

Entry 3:
First-principles (PBE-GGA) data for crystalline La2Ce3PrN6 at its relaxed geometry, as listed in Alexandria via LeMat-Bulk.

The structure in extended XYZ format:
```
12
Lattice="7.943 -1.817 0.000 7.943 1.817 0.000 -1.708 0.000 7.085" Properties=species:S:1:pos:R:3 pbc="T T T"
La 2.072 0.000 2.354
La 12.106 0.000 4.731
Ce 1.212 0.000 5.910
Ce 7.089 0.000 3.543
Ce 12.965 0.000 1.175
Pr 7.943 0.000 0.000
N -1.184 0.000 5.234
N 3.634 0.000 6.587
N 4.702 0.000 2.852
N 9.476 0.000 4.233
N 10.543 0.000 0.498
N 15.362 0.000 1.851
```

Size of the total moment, μB/cell: 0.000
VASP energy, eV/atom: -8.291
Volume, A^3/atom: 17.042
Formation energy without anion corrections, meV/atom: -1424.8

Entry 4:
First-principles (PBE-GGA) data for crystalline La3Ce2PrN6 at its relaxed geometry, as listed in Alexandria via LeMat-Bulk.

The structure in extended XYZ format:
```
12
Lattice="3.174 -5.496 0.000 3.174 5.496 0.000 -2.119 0.000 6.011" Properties=species:S:1:pos:R:3 pbc="T T T"
La 0.000 0.000 0.000
La 3.174 1.834 0.000
La 3.174 -1.834 0.000
Ce 2.115 3.665 3.005
Ce 2.115 -3.665 3.005
Pr 2.115 0.000 3.005
N 1.011 1.913 1.599
N -0.101 0.000 4.391
N 1.011 -1.913 1.599
N 3.218 1.913 4.412
N 4.330 0.000 1.620
N 3.218 -1.913 4.412
```

Size of the total moment, μB/cell: 0.001
VASP energy, eV/atom: -8.176
Volume, A^3/atom: 17.477
Formation energy without anion corrections, meV/atom: -1394.1

Entry 5:
First-principles (PBE-GGA) data for crystalline LaCe2PrN4 at its relaxed geometry, as listed in Alexandria via LeMat-Bulk.

The structure in extended XYZ format:
```
8
Lattice="6.288 0.000 0.000 0.000 3.632 0.000 -2.094 0.000 5.952" Properties=species:S:1:pos:R:3 pbc="T T T"
La 0.000 0.000 0.000
Ce -1.047 1.816 2.976
Ce 2.097 0.000 2.976
Pr 3.144 1.816 0.000
N 0.008 0.000 4.335
N 1.055 1.816 1.626
N 3.139 1.816 4.326
N 4.186 0.000 1.617
```

Size of the total moment, μB/cell: 0.005
VASP energy, eV/atom: -8.284
Volume, A^3/atom: 16.988
Formation energy without anion corrections, meV/atom: -1424.6

Entry 6:
First-principles (PBE-GGA) data for crystalline LaCe2PtN4 at its relaxed geometry, as listed in Alexandria via LeMat-Bulk.

The structure in extended XYZ format:
```
16
Lattice="1.758 -5.972 0.000 1.758 5.972 0.000 0.000 0.000 11.970" Properties=species:S:1:pos:R:3 pbc="T T T"
La 1.758 4.661 8.978
La 1.758 -4.661 2.993
Ce 1.758 1.547 6.621
Ce 1.758 1.547 11.334
Ce 1.758 -1.547 0.636
Ce 1.758 -1.547 5.349
Pt 1.758 4.155 2.993
Pt 1.758 -4.155 8.978
N 0.000 0.000 0.000
N 0.000 0.000 5.985
N 1.758 2.724 1.349
N 1.758 2.724 4.636
N 1.758 0.559 8.978
N 1.758 -0.559 2.993
N 1.758 -2.724 7.334
N 1.758 -2.724 10.621
```

Size of the total moment, μB/cell: 0.000
VASP energy, eV/atom: -8.052
Volume, A^3/atom: 15.706
Formation energy without anion corrections, meV/atom: -1034.7

Entry 7:
First-principles (PBE-GGA) data for crystalline LaCe2PuN4 at its relaxed geometry, as listed in Alexandria via LeMat-Bulk.

The structure in extended XYZ format:
```
8
Lattice="6.221 0.000 0.000 0.000 3.595 0.000 -2.098 0.000 5.870" Properties=species:S:1:pos:R:3 pbc="T T T"
La 0.000 0.000 0.000
Ce 2.061 0.000 2.935
Ce 3.110 1.797 0.000
Pu -1.049 1.797 2.935
N 0.004 0.000 4.320
N 1.090 1.797 1.561
N 3.033 1.797 4.308
N 4.119 0.000 1.550
```

Size of the total moment, μB/cell: 5.840
VASP energy, eV/atom: -9.426
Volume, A^3/atom: 16.407
Formation energy without anion corrections, meV/atom: -1372.5

Entry 8:
First-principles (PBE-GGA) data for crystalline La3Ce2PuN6 at its relaxed geometry, as listed in Alexandria via LeMat-Bulk.

The structure in extended XYZ format:
```
12
Lattice="3.137 -5.433 0.000 3.137 5.433 0.000 -2.094 0.000 5.964" Properties=species:S:1:pos:R:3 pbc="T T T"
La 0.000 0.000 0.000
La 3.137 1.811 0.000
La 3.137 -1.811 0.000
Ce 2.090 3.622 2.982
Ce 2.090 -3.622 2.982
Pu 2.090 0.000 2.982
N 1.068 1.771 1.654
N 0.040 0.000 4.328
N 1.068 -1.771 1.654
N 3.112 1.771 4.310
N 4.140 0.000 1.636
N 3.112 -1.771 4.310
```

Size of the total moment, μB/cell: 5.230
VASP energy, eV/atom: -8.944
Volume, A^3/atom: 16.943
Formation energy without anion corrections, meV/atom: -1366.0